Compound: La2Tl2Cd3
Source: Alexandria
Functional: PBE
Structure: relaxed

Unit cell a=4.966 b=6.249 c=7.289 alpha=107.44 beta=90.00 gamma=113.41
Sites, in units of the cell vectors:
La (0.852, 0.705, 0.240)
La (0.148, 0.295, 0.760)
Tl (0.842, 0.685, 0.764)
Tl (0.158, 0.315, 0.236)
Cd (0.500, 0.000, 0.000)
Cd (0.596, 0.191, 0.422)
Cd (0.404, 0.809, 0.578)

Computed properties:
Size of the total moment, μB per formula unit: 0.00
V, Å³/atom: 28.03
DFT total energy, eV per cell: -19.58
Energy relative to the lowest polymorph listed for this composition, eV per formula unit: 0.00

Compound: LaTl3Cd2
Source: Alexandria
Functional: PBE
Structure: relaxed

Unit cell a=5.972 b=9.176 c=9.176 alpha=136.84 beta=90.00 gamma=90.00
Sites, in units of the cell vectors:
La (0.750, 0.331, 0.669)
La (0.250, 0.669, 0.331)
Tl (0.750, 0.856, 0.144)
Tl (0.250, 0.144, 0.856)
Tl (0.750, 0.409, 0.087)
Tl (0.250, 0.591, 0.913)
Tl (0.750, 0.913, 0.591)
Tl (0.250, 0.087, 0.409)
Cd (0.000, 0.271, 0.271)
Cd (0.500, 0.729, 0.729)
Cd (0.000, 0.729, 0.729)
Cd (0.500, 0.271, 0.271)

Computed properties:
Size of the total moment, μB per formula unit: 0.00
V, Å³/atom: 28.67
DFT total energy, eV per cell: -29.40

Compound: La8Tl2Cd
Source: Alexandria
Functional: PBE
Structure: relaxed

Unit cell a=6.596 b=9.785 c=9.785 alpha=41.16 beta=68.32 gamma=68.32
Sites, in units of the cell vectors:
La (0.742, 0.143, 0.662)
La (0.258, 0.338, 0.857)
La (0.690, 0.205, 0.205)
La (0.310, 0.795, 0.795)
La (0.742, 0.662, 0.143)
La (0.258, 0.857, 0.338)
La (0.246, 0.424, 0.424)
La (0.754, 0.576, 0.576)
Tl (0.142, 0.264, 0.264)
Tl (0.858, 0.736, 0.736)
Cd (0.000, 0.000, 0.000)

Computed properties:
Size of the total moment, μB per formula unit: 0.32
V, Å³/atom: 34.72
DFT total energy, eV per cell: -46.53
Energy relative to the lowest polymorph listed for this composition, eV per formula unit: 0.37

Compound: La4Tl3Cd
Source: Alexandria
Functional: PBE
Structure: relaxed

Unit cell a=5.576 b=5.576 c=8.989 alpha=108.00 beta=107.99 gamma=90.21
Sites, in units of the cell vectors:
Tl (0.000, 0.500, 0.000)
Tl (0.747, 0.247, 0.495)
Tl (0.253, 0.753, 0.505)
Cd (0.500, 0.000, 0.000)
La (0.376, 0.376, 0.752)
La (0.624, 0.624, 0.248)
La (0.124, 0.124, 0.248)
La (0.876, 0.876, 0.752)

Computed properties:
Size of the total moment, μB per formula unit: 0.02
V, Å³/atom: 31.41
DFT total energy, eV per cell: -30.93

Compound: La4Tl5Cd
Source: Alexandria
Functional: PBE
Structure: relaxed

Unit cell a=5.418 b=6.767 c=8.991 alpha=102.63 beta=107.54 gamma=90.00
Sites, in units of the cell vectors:
La (0.691, 0.334, 0.382)
La (0.093, 0.811, 0.187)
La (0.309, 0.666, 0.618)
La (0.907, 0.189, 0.813)
Tl (0.285, 0.158, 0.569)
Tl (0.097, 0.321, 0.195)
Tl (0.903, 0.679, 0.805)
Tl (0.500, 0.500, 0.000)
Tl (0.715, 0.842, 0.431)
Cd (0.500, 0.000, 0.000)

Computed properties:
Size of the total moment, μB per formula unit: 0.00
V, Å³/atom: 30.60
DFT total energy, eV per cell: -36.20

Compound: La5Tl2Cd
Source: Alexandria
Functional: PBE
Structure: relaxed

Unit cell a=7.000 b=7.001 c=7.002 alpha=117.14 beta=117.14 gamma=95.03
Sites, in units of the cell vectors:
La (0.278, 0.278, 0.500)
La (0.278, 0.778, 0.000)
La (0.778, 0.278, 0.000)
La (0.778, 0.778, 0.500)
La (0.278, 0.278, 0.000)
Tl (0.278, 0.778, 0.500)
Tl (0.778, 0.278, 0.500)
Cd (0.778, 0.778, 0.000)

Computed properties:
Size of the total moment, μB per formula unit: 0.00
V, Å³/atom: 31.51
DFT total energy, eV per cell: -32.58

Compound: LaTlCd
Source: Alexandria
Functional: PBE
Structure: relaxed

Unit cell a=4.863 b=4.863 c=7.708 alpha=90.00 beta=90.00 gamma=90.00
Sites, in units of the cell vectors:
Tl (0.000, 0.000, 0.500)
Tl (0.500, 0.500, 0.500)
Cd (0.000, 0.500, 0.760)
Cd (0.500, 0.000, 0.240)
La (0.000, 0.500, 0.192)
La (0.500, 0.000, 0.808)

Computed properties:
Size of the total moment, μB per formula unit: 0.13
V, Å³/atom: 30.38
DFT total energy, eV per cell: -18.01

Compound: La5Tl3Cd
Source: Alexandria
Functional: PBE
Structure: relaxed

Unit cell a=6.917 b=9.853 c=9.852 alpha=120.00 beta=90.00 gamma=90.00
Sites, in units of the cell vectors:
La (0.000, 0.667, 0.333)
La (0.500, 0.333, 0.667)
La (0.000, 0.333, 0.667)
La (0.500, 0.667, 0.333)
La (0.750, 0.706, 0.706)
La (0.750, 0.000, 0.294)
La (0.750, 0.294, 0.000)
La (0.250, 0.294, 0.294)
La (0.250, 0.000, 0.706)
La (0.250, 0.706, 0.000)
Tl (0.750, 0.367, 0.367)
Tl (0.750, 0.000, 0.633)
Tl (0.750, 0.633, 0.000)
Tl (0.250, 0.633, 0.633)
Tl (0.250, 0.000, 0.367)
Tl (0.250, 0.367, 0.000)
Cd (0.000, 0.000, 0.000)
Cd (0.500, 0.000, 0.000)

Computed properties:
Size of the total moment, μB per formula unit: 0.00
V, Å³/atom: 32.30
DFT total energy, eV per cell: -71.68

Compound: La12TlCd3
Source: Alexandria
Functional: PBE
Structure: relaxed

Unit cell a=5.082 b=5.082 c=20.226 alpha=90.00 beta=90.00 gamma=90.00
Sites, in units of the cell vectors:
La (0.500, 0.500, 0.000)
La (0.500, 0.500, 0.250)
La (0.500, 0.500, 0.500)
La (0.500, 0.500, 0.750)
La (0.500, 0.000, 0.125)
La (0.500, 0.000, 0.375)
La (0.500, 0.000, 0.625)
La (0.500, 0.000, 0.875)
La (0.000, 0.500, 0.125)
La (0.000, 0.500, 0.375)
La (0.000, 0.500, 0.625)
La (0.000, 0.500, 0.875)
Tl (0.000, 0.000, 0.000)
Cd (0.000, 0.000, 0.250)
Cd (0.000, 0.000, 0.500)
Cd (0.000, 0.000, 0.750)

Computed properties:
Size of the total moment, μB per formula unit: 0.00
V, Å³/atom: 32.64
DFT total energy, eV per cell: -66.83

Compound: La12TlCd6
Source: Alexandria
Functional: PBE
Structure: relaxed

Unit cell a=8.429 b=8.429 c=8.429 alpha=89.04 beta=89.04 gamma=89.04
Sites, in units of the cell vectors:
La (0.811, 0.529, 0.450)
La (0.450, 0.811, 0.529)
La (0.529, 0.450, 0.811)
La (0.189, 0.471, 0.550)
La (0.550, 0.189, 0.471)
La (0.471, 0.550, 0.189)
La (0.025, 0.148, 0.381)
La (0.852, 0.619, 0.975)
La (0.619, 0.975, 0.852)
La (0.975, 0.852, 0.619)
La (0.148, 0.381, 0.025)
La (0.381, 0.025, 0.148)
Tl (0.000, 0.000, 0.000)
Cd (0.741, 0.887, 0.259)
Cd (0.741, 0.259, 0.113)
Cd (0.113, 0.741, 0.259)
Cd (0.259, 0.113, 0.741)
Cd (0.259, 0.741, 0.887)
Cd (0.887, 0.259, 0.741)

Computed properties:
Size of the total moment, μB per formula unit: 0.00
V, Å³/atom: 31.51
DFT total energy, eV per cell: -70.00

Compound: La3Tl4Cd2
Source: Alexandria
Functional: PBE
Structure: relaxed

Unit cell a=5.053 b=6.478 c=9.623 alpha=111.39 beta=90.00 gamma=112.96
Sites, in units of the cell vectors:
La (0.671, 0.342, 0.668)
La (0.000, 0.000, 0.000)
La (0.329, 0.658, 0.332)
Tl (0.684, 0.368, 0.018)
Tl (0.316, 0.632, 0.982)
Tl (0.911, 0.822, 0.576)
Tl (0.089, 0.178, 0.424)
Cd (0.601, 0.201, 0.271)
Cd (0.399, 0.799, 0.729)

Computed properties:
Size of the total moment, μB per formula unit: 0.00
V, Å³/atom: 29.60
DFT total energy, eV per cell: -29.39

Compound: LaTlCd
Source: Alexandria
Functional: PBE
Structure: relaxed

Unit cell a=5.280 b=4.796 c=7.200 alpha=109.38 beta=90.02 gamma=90.00
Sites, in units of the cell vectors:
Tl (0.466, 0.519, 0.111)
Tl (0.466, 0.859, 0.791)
La (0.467, 0.199, 0.469)
La (0.966, 0.004, 0.084)
Cd (0.967, 0.336, 0.748)
Cd (0.966, 0.693, 0.460)

Computed properties:
Size of the total moment, μB per formula unit: 0.00
V, Å³/atom: 28.67
DFT total energy, eV per cell: -18.21

Compound: LaTlCd
Source: Alexandria
Functional: PBE
Structure: relaxed

Unit cell a=6.875 b=5.007 c=7.539 alpha=120.75 beta=53.18 gamma=101.46
Sites, in units of the cell vectors:
Tl (0.482, 0.062, 0.595)
Tl (0.960, 0.827, 0.775)
La (0.881, 0.436, 0.314)
La (0.561, 0.452, 0.057)
Cd (0.278, 0.749, 0.922)
Cd (0.163, 0.139, 0.448)

Computed properties:
Size of the total moment, μB per formula unit: 0.00
V, Å³/atom: 29.39
DFT total energy, eV per cell: -18.19

Compound: LaTlCd3
Source: Alexandria
Functional: PBE
Structure: relaxed

Unit cell a=5.458 b=5.458 c=5.458 alpha=90.00 beta=90.00 gamma=90.00
Sites, in units of the cell vectors:
Tl (0.000, 0.000, 0.000)
Cd (0.000, 0.500, 0.000)
Cd (0.000, 0.000, 0.500)
Cd (0.500, 0.000, 0.000)
La (0.500, 0.500, 0.500)

Computed properties:
Size of the total moment, μB per formula unit: 0.00
V, Å³/atom: 32.53
DFT total energy, eV per cell: -8.61
Energy relative to the lowest polymorph listed for this composition, eV per formula unit: 0.00

Compound: LaTmTlCd
Source: Alexandria
Functional: PBE
Structure: relaxed

Unit cell a=5.452 b=5.452 c=5.452 alpha=60.00 beta=60.00 gamma=60.00
Sites, in units of the cell vectors:
Cd (0.750, 0.750, 0.750)
Tl (0.250, 0.250, 0.250)
Tm (0.500, 0.500, 0.500)
La (0.000, 0.000, 0.000)

Computed properties:
Size of the total moment, μB per formula unit: 0.01
V, Å³/atom: 28.65
DFT total energy, eV per cell: -14.05

Compound: La2YTl2Cd2
Source: Alexandria
Functional: PBE
Structure: relaxed

Unit cell a=4.961 b=4.961 c=9.603 alpha=75.03 beta=75.03 gamma=60.00
Sites, in units of the cell vectors:
La (0.138, 0.138, 0.585)
La (0.862, 0.862, 0.415)
Y (0.000, 0.000, 0.000)
Tl (0.724, 0.724, 0.827)
Tl (0.276, 0.276, 0.173)
Cd (0.583, 0.583, 0.251)
Cd (0.417, 0.417, 0.749)

Computed properties:
Size of the total moment, μB per formula unit: 0.00
V, Å³/atom: 27.91
DFT total energy, eV per cell: -24.25

Compound: La6TmCd5
Source: Alexandria
Functional: PBE
Structure: relaxed

Unit cell a=5.567 b=7.885 c=8.905 alpha=90.00 beta=108.24 gamma=90.00
Sites, in units of the cell vectors:
Cd (0.665, 0.500, 0.334)
Cd (0.347, 0.000, 0.691)
Cd (0.000, 0.500, 0.000)
Cd (0.653, 0.000, 0.309)
Cd (0.335, 0.500, 0.666)
Tm (0.000, 0.000, 0.000)
La (0.830, 0.751, 0.658)
La (0.830, 0.249, 0.658)
La (0.500, 0.266, 0.000)
La (0.500, 0.734, 0.000)
La (0.170, 0.751, 0.342)
La (0.170, 0.249, 0.342)

Computed properties:
Size of the total moment, μB per formula unit: 0.01
V, Å³/atom: 30.94
DFT total energy, eV per cell: -41.54

Compound: La6Tm3Cd
Source: Alexandria
Functional: PBE
Structure: relaxed

Unit cell a=5.190 b=11.201 c=11.523 alpha=92.29 beta=90.00 gamma=90.00
Sites, in units of the cell vectors:
La (0.250, 0.452, 0.102)
La (0.750, 0.548, 0.898)
La (0.250, 0.154, 0.192)
La (0.750, 0.846, 0.808)
La (0.250, 0.649, 0.700)
La (0.750, 0.351, 0.300)
La (0.250, 0.241, 0.496)
La (0.750, 0.759, 0.504)
La (0.250, 0.857, 0.310)
La (0.750, 0.143, 0.690)
La (0.250, 0.046, 0.893)
La (0.750, 0.954, 0.107)
Tm (0.250, 0.550, 0.401)
Tm (0.750, 0.450, 0.599)
Tm (0.250, 0.348, 0.797)
Tm (0.750, 0.652, 0.203)
Tm (0.250, 0.751, 0.006)
Tm (0.750, 0.249, 0.994)
Cd (0.250, 0.948, 0.603)
Cd (0.750, 0.052, 0.397)

Computed properties:
Size of the total moment, μB per formula unit: 0.00
V, Å³/atom: 33.47
DFT total energy, eV per cell: -88.17

Compound: LaTm2Cd2
Source: Alexandria
Functional: PBE
Structure: relaxed

Unit cell a=5.010 b=5.010 c=12.767 alpha=101.31 beta=101.31 gamma=90.00
Sites, in units of the cell vectors:
La (0.624, 0.624, 0.247)
La (0.376, 0.376, 0.753)
Tm (0.750, 0.250, 0.500)
Tm (0.929, 0.929, 0.859)
Tm (0.071, 0.071, 0.141)
Tm (0.250, 0.750, 0.500)
Cd (0.000, 0.500, 0.000)
Cd (0.184, 0.184, 0.368)
Cd (0.500, 0.000, 0.000)
Cd (0.816, 0.816, 0.632)

Computed properties:
Size of the total moment, μB per formula unit: 0.00
V, Å³/atom: 30.78
DFT total energy, eV per cell: -31.92
Energy relative to the lowest polymorph listed for this composition, eV per formula unit: 0.91

Compound: La3Tm2Cd2
Source: Alexandria
Functional: PBE
Structure: relaxed

Unit cell a=5.213 b=3.555 c=11.873 alpha=90.00 beta=77.32 gamma=90.00
Each line ends with the local moment (μB).
Sites, in units of the cell vectors:
La (0.852, 0.000, 0.295)  0.04
La (0.000, 0.000, 0.000)  0.14
La (0.148, 0.000, 0.705)  0.04
Tm (0.711, 0.500, 0.579)  0.00
Tm (0.289, 0.500, 0.421)  0.00
Cd (0.570, 0.500, 0.860)  0.00
Cd (0.430, 0.500, 0.140)  0.00

Computed properties:
Size of the total moment, μB per formula unit: 0.41
V, Å³/atom: 30.66
DFT total energy, eV per cell: -26.09

no.,formation energy from the elements (eV/atom)
1,-0.321
2,-0.140
3,-0.133
4,-0.401
5,-0.375
6,-0.286
7,-0.265
8,-0.354
9,-0.162
10,-0.158
11,-0.369
12,-0.298
13,-0.296
14,0.286
15,-0.343
16,-0.195
17,-0.244
18,-0.019
19,-0.052
20,-0.076